1.
Here is MgMnBr2 at its PBEsol-relaxed geometry from the Alexandria database. Energies are from SCAN.

## Properties
space-group type: Pm
crystal system: monoclinic

Unit cell a=3.447 b=3.433 c=8.474 alpha=101.69 beta=90.00 gamma=90.00
Atoms (fractional coordinates):
1 Br 0.500 0.850 0.324
2 Br 0.000 0.158 0.946
3 Mg 0.000 0.437 0.498
4 Mn 0.500 0.055 0.732

2.
Here is LiCuP2 at its PBEsol-relaxed geometry from the Alexandria database. Energies are from SCAN.

## Properties
energy of formation from the pure elements: 0.282 eV per atom
space-group type: F-43m
crystal system: cubic

Unit cell a=4.210 b=4.210 c=4.210 alpha=60.00 beta=60.00 gamma=60.00
Atoms (fractional coordinates):
1 Cu 0.500 0.500 0.500
2 P 0.250 0.250 0.250
3 P 0.000 0.000 0.000
4 Li 0.750 0.750 0.750

3.
Here is SiSb at its PBEsol-relaxed geometry from the Alexandria database. Energies are from SCAN.

## Properties
space-group type: Cm
crystal system: monoclinic

Unit cell a=3.708 b=6.058 c=7.190 alpha=108.91 beta=90.00 gamma=107.82
Atoms (fractional coordinates):
1 Sb 0.008 0.015 0.919
2 Sb 0.731 0.462 0.096
3 Sb 0.555 0.110 0.453
4 Si 0.405 0.811 0.079
5 Si 0.243 0.486 0.419
6 Si 0.891 0.783 0.534

4.
Here is GaSi3Te at its PBEsol-relaxed geometry from the Alexandria database. Energies are from SCAN.

## Properties
space-group type: Pm-3m
crystal system: cubic

Unit cell a=4.760 b=4.760 c=4.760 alpha=90.00 beta=90.00 gamma=90.00
Atoms (fractional coordinates):
1 Si 0.000 0.000 0.500
2 Si 0.500 0.000 0.000
3 Si 0.000 0.500 0.000
4 Ga 0.000 0.000 0.000
5 Te 0.500 0.500 0.500

5.
Here is BAsO2F at its PBEsol-relaxed geometry from the Alexandria database. Energies are from SCAN.

## Properties
space-group type: P4/mmm
crystal system: tetragonal

Unit cell a=3.401 b=3.401 c=3.597 alpha=90.00 beta=90.00 gamma=90.00
Atoms (fractional coordinates):
1 F 0.000 0.000 0.500
2 B 0.000 0.000 0.000
3 O 0.500 0.000 0.000
4 O 0.000 0.500 0.000
5 As 0.500 0.500 0.500

6.
Here is LiCo3P3O13 at its PBEsol-relaxed geometry from the Alexandria database. Energies are from SCAN.

## Properties
space-group type: P2_1/m
crystal system: monoclinic

Unit cell a=5.974 b=7.186 c=10.121 alpha=101.18 beta=90.00 gamma=90.00
Atoms (fractional coordinates):
1 O 0.750 0.003 0.401
2 O 0.966 0.804 0.099
3 O 0.250 0.082 0.115
4 O 0.250 0.357 0.739
5 O 0.750 0.643 0.261
6 O 0.750 0.342 0.366
7 O 0.750 0.918 0.885
8 O 0.250 0.204 0.362
9 O 0.034 0.196 0.901
10 O 0.250 0.997 0.599
11 O 0.550 0.270 0.566
12 O 0.050 0.730 0.434
13 O 0.466 0.196 0.901
14 O 0.944 0.606 0.804
15 O 0.556 0.606 0.804
16 O 0.750 0.490 0.038
17 O 0.250 0.872 0.904
18 O 0.534 0.804 0.099
19 O 0.750 0.128 0.096
20 O 0.250 0.658 0.634
21 O 0.450 0.730 0.434
22 O 0.250 0.510 0.962
23 O 0.056 0.394 0.196
24 O 0.950 0.270 0.566
25 O 0.444 0.394 0.196
26 O 0.750 0.796 0.638
27 Co 0.250 0.631 0.809
28 Co 0.500 0.000 0.000
29 Co 0.750 0.755 0.448
30 Co 0.250 0.245 0.552
31 Co 0.750 0.369 0.191
32 Co 0.000 0.000 0.000
33 P 0.250 0.271 0.228
34 P 0.750 0.729 0.772
35 P 0.250 0.789 0.532
36 P 0.750 0.698 0.119
37 P 0.750 0.211 0.468
38 P 0.250 0.302 0.881
39 Li 0.750 0.352 0.856
40 Li 0.250 0.648 0.144

7.
Here is GaHg3I at its PBEsol-relaxed geometry from the Alexandria database. Energies are from SCAN.

## Properties
space-group type: Pm-3m
crystal system: cubic

Unit cell a=5.228 b=5.228 c=5.228 alpha=90.00 beta=90.00 gamma=90.00
Atoms (fractional coordinates):
1 Hg 0.000 0.500 0.000
2 Hg 0.000 0.000 0.500
3 Hg 0.500 0.000 0.000
4 Ga 0.000 0.000 0.000
5 I 0.500 0.500 0.500

8.
Here is La2ZnNi at its PBEsol-relaxed geometry from the Alexandria database. Energies are from SCAN.

## Properties
energy of formation from the pure elements: -0.297 eV per atom
space-group type: Pm
crystal system: monoclinic

Unit cell a=3.895 b=4.457 c=5.854 alpha=90.00 beta=109.08 gamma=90.00
Atoms (fractional coordinates):
1 La 0.733 0.500 0.337
2 La 0.008 0.000 0.894
3 Zn 0.438 0.500 0.752
4 Ni 0.320 0.000 0.516

9.
Here is Cs2YAuCl6 at its PBEsol-relaxed geometry from the Alexandria database. Energies are from SCAN.

## Properties
space-group type: Fm-3m
crystal system: cubic

Unit cell a=7.477 b=7.477 c=7.477 alpha=60.00 beta=60.00 gamma=60.00
Atoms (fractional coordinates):
1 Cs 0.750 0.750 0.750
2 Cs 0.250 0.250 0.250
3 Au 0.500 0.500 0.500
4 Cl 0.754 0.246 0.754
5 Cl 0.246 0.754 0.754
6 Cl 0.246 0.754 0.246
7 Cl 0.246 0.246 0.754
8 Cl 0.754 0.754 0.246
9 Cl 0.754 0.246 0.246
10 Y 0.000 0.000 0.000

10.
Here is Ta3Pt2 at its PBEsol-relaxed geometry from the Alexandria database. Energies are from SCAN.

## Properties
energy of formation from the pure elements: -0.597 eV per atom
space-group type: P4_2/mnm
crystal system: tetragonal

Unit cell a=5.100 b=9.857 c=9.857 alpha=90.00 beta=90.00 gamma=90.00
Atoms (fractional coordinates):
1 Ta 0.751 0.315 0.315
2 Ta 0.000 0.000 0.000
3 Ta 0.749 0.815 0.185
4 Ta 0.000 0.539 0.136
5 Ta 0.251 0.185 0.815
6 Ta 0.500 0.636 0.961
7 Ta 0.000 0.461 0.864
8 Ta 0.500 0.039 0.364
9 Ta 0.249 0.315 0.315
10 Ta 0.000 0.864 0.461
11 Ta 0.500 0.500 0.500
12 Ta 0.000 0.136 0.539
13 Ta 0.249 0.685 0.685
14 Ta 0.500 0.364 0.039
15 Ta 0.749 0.185 0.815
16 Ta 0.751 0.685 0.685
17 Ta 0.500 0.961 0.636
18 Ta 0.251 0.815 0.185
19 Pt 0.000 0.736 0.932
20 Pt 0.000 0.264 0.068
21 Pt 0.500 0.764 0.432
22 Pt 0.500 0.432 0.764
23 Pt 0.500 0.236 0.568
24 Pt 0.000 0.600 0.400
25 Pt 0.000 0.400 0.600
26 Pt 0.500 0.900 0.900
27 Pt 0.000 0.932 0.736
28 Pt 0.500 0.100 0.100
29 Pt 0.500 0.568 0.236
30 Pt 0.000 0.068 0.264

11.
Here is Na6CuO4 at its PBEsol-relaxed geometry from the Alexandria database. Energies are from SCAN.

## Properties
space-group type: Cc
crystal system: monoclinic

Unit cell a=5.810 b=7.462 c=7.584 alpha=119.47 beta=90.03 gamma=89.95
Atoms (fractional coordinates):
1 Na 0.878 0.471 0.538
2 Na 0.360 0.541 0.075
3 Na 0.540 0.143 0.281
4 Na 0.535 0.144 0.855
5 Na 0.035 0.289 0.145
6 Na 0.378 0.536 0.462
7 Na 0.878 0.074 0.538
8 Na 0.035 0.862 0.145
9 Na 0.535 0.717 0.855
10 Na 0.860 0.465 0.925
11 Na 0.378 0.932 0.462
12 Na 0.040 0.863 0.719
13 O 0.645 0.380 0.180
14 O 0.653 0.813 0.621
15 O 0.598 0.329 0.652
16 O 0.146 0.626 0.820
17 O 0.646 0.807 0.180
18 O 0.098 0.677 0.348
19 O 0.153 0.193 0.379
20 O 0.145 0.200 0.820
21 Cu 0.261 0.338 0.670
22 Cu 0.761 0.668 0.330

12.
Here is Sc2AsBr at its PBEsol-relaxed geometry from the Alexandria database. Energies are from SCAN.

## Properties
space-group type: P4/mmm
crystal system: tetragonal

Unit cell a=3.839 b=3.838 c=5.424 alpha=90.00 beta=90.00 gamma=90.00
Atoms (fractional coordinates):
1 Sc 0.000 0.125 0.000
2 Sc 0.500 0.625 0.500
3 Br 0.000 0.125 0.500
4 As 0.500 0.625 0.000

13.
Here is Tc2NiW at its PBEsol-relaxed geometry from the Alexandria database. Energies are from SCAN.

## Properties
energy of formation from the pure elements: 0.006 eV per atom
space-group type: I-4m2
crystal system: tetragonal

Unit cell a=3.794 b=3.794 c=4.613 alpha=114.28 beta=114.28 gamma=90.00
Atoms (fractional coordinates):
1 W 0.500 0.500 0.000
2 Tc 0.750 0.250 0.500
3 Tc 0.000 0.000 0.000
4 Ni 0.250 0.750 0.500

14.
Here is Mn2Si2Bi at its PBEsol-relaxed geometry from the Alexandria database. Energies are from SCAN.

## Properties
space-group type: I4/mmm
crystal system: tetragonal

Unit cell a=3.472 b=3.472 c=6.486 alpha=105.53 beta=105.53 gamma=90.00
Atoms (fractional coordinates):
1 Mn 0.384 0.384 0.769
2 Mn 0.616 0.616 0.231
3 Si 0.250 0.750 0.500
4 Si 0.750 0.250 0.500
5 Bi 0.000 0.000 0.000

15.
Here is La2CuOs at its PBEsol-relaxed geometry from the Alexandria database. Energies are from SCAN.

## Properties
energy of formation from the pure elements: 0.135 eV per atom
space-group type: I-4m2
crystal system: tetragonal

Unit cell a=4.315 b=4.315 c=5.388 alpha=113.60 beta=113.60 gamma=90.00
Atoms (fractional coordinates):
1 Cu 0.250 0.750 0.500
2 Os 0.500 0.500 0.000
3 La 0.000 0.000 0.000
4 La 0.750 0.250 0.500

16.
Here is CaAlIr at its PBEsol-relaxed geometry from the Alexandria database. Energies are from SCAN.

## Properties
energy of formation from the pure elements: -0.622 eV per atom
space-group type: P-6m2
crystal system: hexagonal

Unit cell a=4.180 b=4.180 c=4.150 alpha=90.00 beta=90.00 gamma=120.00
Atoms (fractional coordinates):
1 Ir 0.333 0.667 0.500
2 Ca 0.667 0.333 0.000
3 Al 0.000 0.000 0.500

17.
Here is TcRu2Rh at its PBEsol-relaxed geometry from the Alexandria database. Energies are from SCAN.

## Properties
energy of formation from the pure elements: 0.023 eV per atom
space-group type: I4/mmm
crystal system: tetragonal

Unit cell a=3.802 b=3.802 c=4.596 alpha=114.44 beta=114.44 gamma=90.00
Atoms (fractional coordinates):
1 Rh 0.500 0.500 0.000
2 Tc 0.000 0.000 0.000
3 Ru 0.750 0.250 0.500
4 Ru 0.250 0.750 0.500

18.
Here is TaGaGe3 at its PBEsol-relaxed geometry from the Alexandria database. Energies are from SCAN.

## Properties
energy of formation from the pure elements: 0.502 eV per atom
space-group type: Pm-3m
crystal system: cubic

Unit cell a=4.967 b=4.967 c=4.967 alpha=90.00 beta=90.00 gamma=90.00
Atoms (fractional coordinates):
1 Ge 0.500 0.000 0.000
2 Ge 0.000 0.500 0.000
3 Ge 0.000 0.000 0.500
4 Ga 0.500 0.500 0.500
5 Ta 0.000 0.000 0.000

19.
Here is CsB6Br6 at its PBEsol-relaxed geometry from the Alexandria database. Energies are from SCAN.

## Properties
space-group type: R-3
crystal system: trigonal

Unit cell a=9.861 b=9.861 c=16.974 alpha=73.11 beta=73.11 gamma=60.00
Atoms (fractional coordinates):
1 B 0.645 0.443 0.416
2 B 0.355 0.557 0.584
3 B 0.557 0.503 0.584
4 B 0.557 0.318 0.480
5 B 0.809 0.032 0.020
6 B 0.443 0.682 0.520
7 B 0.881 0.087 0.084
8 B 0.682 0.355 0.520
9 B 0.139 0.809 0.020
10 B 0.861 0.191 0.980
11 B 0.032 0.139 0.020
12 B 0.443 0.497 0.416
13 B 0.087 0.948 0.084
14 B 0.968 0.861 0.980
15 B 0.119 0.913 0.916
16 B 0.318 0.645 0.480
17 B 0.355 0.443 0.520
18 B 0.191 0.968 0.980
19 B 0.052 0.119 0.916
20 B 0.497 0.645 0.416
21 B 0.645 0.557 0.480
22 B 0.913 0.052 0.916
23 B 0.948 0.881 0.084
24 B 0.503 0.355 0.584
25 Br 0.378 0.495 0.319
26 Br 0.888 0.188 0.546
27 Br 0.495 0.809 0.319
28 Br 0.411 0.934 0.954
29 Br 0.589 0.066 0.046
30 Br 0.934 0.702 0.954
31 Br 0.191 0.622 0.681
32 Br 0.702 0.411 0.954
33 Br 0.745 0.185 0.181
34 Br 0.298 0.589 0.046
35 Br 0.622 0.112 0.454
36 Br 0.622 0.505 0.681
37 Br 0.188 0.378 0.546
38 Br 0.066 0.298 0.046
39 Br 0.255 0.815 0.819
40 Br 0.112 0.812 0.454
41 Br 0.815 0.111 0.819
42 Br 0.505 0.191 0.681
43 Br 0.185 0.889 0.181
44 Br 0.889 0.745 0.181
45 Br 0.378 0.888 0.546
46 Br 0.809 0.378 0.319
47 Br 0.812 0.622 0.454
48 Br 0.111 0.255 0.819
49 Cs 0.209 0.209 0.374
50 Cs 0.626 0.626 0.121
51 Cs 0.374 0.374 0.879
52 Cs 0.791 0.791 0.626

20.
Here is KNi2Ag at its PBEsol-relaxed geometry from the Alexandria database. Energies are from SCAN.

## Properties
energy of formation from the pure elements: 1.021 eV per atom
space-group type: Fm-3m
crystal system: cubic

Unit cell a=4.498 b=4.498 c=4.498 alpha=60.00 beta=60.00 gamma=60.00
Atoms (fractional coordinates):
1 Ni 0.750 0.750 0.750
2 Ni 0.250 0.250 0.250
3 Ag 0.000 0.000 0.000
4 K 0.500 0.500 0.500

21.
Here is SbTeCl3 at its PBEsol-relaxed geometry from the Alexandria database. Energies are from SCAN.

## Properties
space-group type: Pm-3m
crystal system: cubic

Unit cell a=5.352 b=5.352 c=5.352 alpha=90.00 beta=90.00 gamma=90.00
Atoms (fractional coordinates):
1 Sb 0.500 0.500 0.500
2 Te 0.000 0.000 0.000
3 Cl 0.500 0.000 0.000
4 Cl 0.000 0.500 0.000
5 Cl 0.000 0.000 0.500

22.
Here is LiMgCu2 at its PBEsol-relaxed geometry from the Alexandria database. Energies are from SCAN.

## Properties
energy of formation from the pure elements: -0.078 eV per atom
space-group type: F-43m
crystal system: cubic

Unit cell a=4.228 b=4.228 c=4.228 alpha=60.00 beta=60.00 gamma=60.00
Atoms (fractional coordinates):
1 Cu 0.750 0.750 0.750
2 Cu 0.000 0.000 0.000
3 Li 0.500 0.500 0.500
4 Mg 0.250 0.250 0.250

In order of appearance, density = 4.042, 4.169, 5.164, 4.335, 5.458, 3.777, 9.281, 6.950, 4.295, 18.762, 3.080, 5.086, 13.480, 8.603, 10.676, 6.856, 12.421, 6.350, 3.340, 6.823, 3.854, 4.919 g cm⁻³.
In order of appearance, energy = -16.211, -9.314, -23.183, -15.721, -9.270, -10.274, -51.599, -29.272, -23.982, -68.625, -7.216, -18.234, -38.989, -26.983, -43.187, -30.127, -34.598, -27.536, -16.092, -16.990, -19.571, -9.519 eV/atom.